A relaxed structure of Mn2AlRu2. Source: Alexandria, functional PBE.

Calculated values
M_tot = 2.6 μB per formula unit
density of states at the Fermi level = 0.96 states/eV per atom
symmetry = P4/mbm (127)
final energy = -80.02 eV for the cell shown
energy of formation = 124 meV per atom

Lattice parameters (Å, degrees): 7.1257 7.1257 2.7271 90.00 90.00 90.00
Closest atoms and distances in Å follow each position.
Element x y z (fractional)
Ru: 0.3689 0.8689 0.0000  6 Mn 2.47-2.52, 3 Ru 2.64-2.73
Ru: 0.8689 0.6311 0.0000  6 Mn 2.47-2.52, 3 Ru 2.64-2.73
Ru: 0.6311 0.1311 0.0000  6 Mn 2.47-2.52, 3 Ru 2.64-2.73
Ru: 0.1311 0.3689 0.0000  6 Mn 2.47-2.52, 3 Ru 2.64-2.73
Mn: 0.1645 0.6645 0.5000  6 Ru 2.47-2.52, 2 Mn 2.73
Mn: 0.6645 0.8355 0.5000  6 Ru 2.47-2.52, 2 Mn 2.73
Mn: 0.8355 0.3355 0.5000  6 Ru 2.47-2.52, 2 Mn 2.73
Mn: 0.3355 0.1645 0.5000  6 Ru 2.47-2.52, 2 Mn 2.73
Al: 0.0000 0.0000 0.0000  2 Al 2.73, 4 Ru 2.79, 8 Mn 2.99
Al: 0.5000 0.5000 0.0000  2 Al 2.73, 4 Ru 2.79, 8 Mn 2.99

A relaxed structure of Mn2AlRu2. Source: Alexandria, functional PBE.

Calculated values
M_tot = 0.0 μB per formula unit
density of states at the Fermi level = 0.93 states/eV per atom
symmetry = P4/mbm (127)
final energy = -80.48 eV for the cell shown
energy of formation = 79 meV per atom

Lattice parameters (Å, degrees): 7.0034 7.0034 2.7248 90.00 90.00 90.00
Closest atoms and distances in Å follow each position.
Element x y z (fractional)
Ru: 0.1735 0.6735 0.5000  6 Mn 2.48, 2 Ru 2.72
Ru: 0.6735 0.8265 0.5000  6 Mn 2.48, 2 Ru 2.72
Ru: 0.8265 0.3265 0.5000  6 Mn 2.48, 2 Ru 2.72
Ru: 0.3265 0.1735 0.5000  6 Mn 2.48, 2 Ru 2.72
Mn: 0.3826 0.8826 0.0000  1 Mn 2.33, 6 Ru 2.48
Mn: 0.8826 0.6174 0.0000  1 Mn 2.33, 6 Ru 2.48
Mn: 0.6174 0.1174 0.0000  1 Mn 2.33, 6 Ru 2.48
Mn: 0.1174 0.3826 0.0000  1 Mn 2.33, 6 Ru 2.48
Al: 0.0000 0.0000 0.0000  2 Al 2.72, 4 Mn 2.80, 8 Ru 2.93
Al: 0.5000 0.5000 0.0000  2 Al 2.72, 4 Mn 2.80, 8 Ru 2.93

A relaxed structure of MnAlRu2. Source: Alexandria, functional PBE.

Calculated values
M_tot = 3.0 μB per formula unit
density of states at the Fermi level = 1.02 states/eV per atom
symmetry = Immm (71)
final energy = -31.88 eV for the cell shown
energy of formation = -105 meV per atom

Lattice parameters (Å, degrees): 4.9536 4.9536 4.9536 145.52 125.48 66.13
Closest atoms and distances in Å follow each position.
Element x y z (fractional)
Ru: 0.9978 0.9978 0.0000  2 Mn 2.53, 2 Al 2.56, 4 Ru 2.70
Ru: 0.5022 0.5022 0.0000  2 Mn 2.53, 2 Al 2.56, 4 Ru 2.70
Mn: 0.7500 0.2500 0.5000  4 Ru 2.53, 4 Al 2.70
Al: 0.2500 0.7500 0.5000  4 Ru 2.56, 4 Mn 2.70

A relaxed structure of MnAl6Ru5. Source: Alexandria, functional PBE.

Calculated values
M_tot = 3.6 μB per formula unit
density of states at the Fermi level = 0.72 states/eV per atom
symmetry = Cmmm (65)
final energy = -85.62 eV for the cell shown
energy of formation = -634 meV per atom

Lattice parameters (Å, degrees): 4.2280 6.0672 6.7172 90.00 108.37 90.00
Closest atoms and distances in Å follow each position.
Element x y z (fractional)
Ru: 0.6651 0.5000 0.3297  8 Al 2.55-2.59
Ru: 0.3414 0.0000 0.6833  8 Al 2.57-2.66
Ru: 0.0000 0.5000 0.0000  8 Al 2.56-2.65
Ru: 0.6586 0.0000 0.3167  8 Al 2.57-2.66
Ru: 0.3349 0.5000 0.6703  8 Al 2.55-2.59
Mn: 0.0000 0.0000 0.0000  8 Al 2.65-2.68, 4 Ru 2.92
Al: 0.8279 0.7451 0.6562  7 Ru 2.56-2.66, 1 Mn 2.68
Al: 0.8279 0.2549 0.6562  7 Ru 2.56-2.66, 1 Mn 2.68
Al: 0.5000 0.2623 0.0000  6 Ru 2.55-2.57, 2 Mn 2.65
Al: 0.5000 0.7377 0.0000  6 Ru 2.55-2.57, 2 Mn 2.65
Al: 0.1721 0.7451 0.3438  7 Ru 2.56-2.66, 1 Mn 2.68
Al: 0.1721 0.2549 0.3438  7 Ru 2.56-2.66, 1 Mn 2.68

A relaxed structure of MnAlRu. Source: Alexandria, functional PBE.

Calculated values
M_tot = 0.0 μB per formula unit
density of states at the Fermi level = 0.65 states/eV per atom
symmetry = I4mm (107)
final energy = -23.10 eV for the cell shown
energy of formation = -303 meV per atom

Lattice parameters (Å, degrees): 5.0678 5.0678 5.0678 147.17 147.17 47.11
Closest atoms and distances in Å follow each position.
Element x y z (fractional)
Ru: 0.6716 0.6716 0.0000  4 Mn 2.52, 4 Al 2.60
Mn: 0.3327 0.3327 0.0000  4 Ru 2.52, 4 Al 2.53
Al: 0.9957 0.9957 0.0000  4 Mn 2.53, 4 Ru 2.60

A relaxed structure of MnAlRu4. Source: Alexandria, functional PBE.

Calculated values
M_tot = 2.9 μB per formula unit
density of states at the Fermi level = 1.26 states/eV per atom
symmetry = F-43m (216)
final energy = -48.17 eV for the cell shown
energy of formation = 308 meV per atom

Lattice parameters (Å, degrees): 5.0684 5.0684 5.0684 60.00 60.00 60.00
Closest atoms and distances in Å follow each position.
Element x y z (fractional)
Mn: 0.0000 0.0000 0.0000  12 Ru 2.97, 4 Al 3.10
Al: 0.7500 0.7500 0.7500  12 Ru 2.97, 4 Mn 3.10
Ru: 0.8748 0.3751 0.3751  6 Ru 2.53-2.54
Ru: 0.3751 0.3751 0.8748  6 Ru 2.53-2.54
Ru: 0.3751 0.8748 0.3751  6 Ru 2.53-2.54
Ru: 0.3751 0.3751 0.3751  6 Ru 2.53-2.54

A relaxed structure of MnAl2Ru. Source: Alexandria, functional PBE.

Calculated values
M_tot = 1.3 μB per formula unit
density of states at the Fermi level = 0.54 states/eV per atom
symmetry = R3m (160)
final energy = -26.41 eV for the cell shown
energy of formation = -120 meV per atom

Lattice parameters (Å, degrees): 8.5552 8.5552 8.5552 18.63 18.63 18.63
Closest atoms and distances in Å follow each position.
Element x y z (fractional)
Ru: 0.7538 0.7538 0.7538  3 Mn 2.52, 3 Al 2.64, 6 Ru 2.77
Mn: 0.4979 0.4979 0.4979  3 Ru 2.52, 3 Al 2.57, 6 Mn 2.77
Al: 0.0038 0.0038 0.0038  3 Ru 2.64, 9 Al 2.77-2.83
Al: 0.2445 0.2445 0.2445  3 Mn 2.57, 9 Al 2.77-2.83

A relaxed structure of MnAl3Ru4. Source: Alexandria, functional PBE.

Calculated values
M_tot = 2.6 μB per formula unit
density of states at the Fermi level = 0.99 states/eV per atom
symmetry = Pmmm (47)
final energy = -61.64 eV for the cell shown
energy of formation = -518 meV per atom

Lattice parameters (Å, degrees): 3.0082 4.2423 8.4681 90.00 90.00 90.00
Closest atoms and distances in Å follow each position.
Element x y z (fractional)
Ru: 0.0000 0.0000 0.5000  8 Al 2.60
Ru: 0.0000 0.5000 0.7546  2 Mn 2.56, 6 Al 2.60-2.63
Ru: 0.0000 0.0000 0.0000  4 Al 2.59, 4 Mn 2.60
Ru: 0.0000 0.5000 0.2454  2 Mn 2.56, 6 Al 2.60-2.63
Mn: 0.5000 0.5000 0.0000  8 Ru 2.56-2.60
Al: 0.5000 0.0000 0.2492  8 Ru 2.59-2.60
Al: 0.5000 0.5000 0.5000  8 Ru 2.60-2.63
Al: 0.5000 0.0000 0.7508  8 Ru 2.59-2.60